(1)
This record from Alexandria describes a relaxed Ti2Al3Au3 crystal. The functional is PBE.

Structure (CIF):
```
data_Ti2Al3Au3
_symmetry_space_group_name_H-M 'P -6 2 m'
_symmetry_Int_Tables_number 189
_symmetry_space_group_name_Hall 'P -6 -2'
_cell_length_a 7.4305
_cell_length_b 7.4305
_cell_length_c 2.9511
_cell_angle_alpha 90.00
_cell_angle_beta 90.00
_cell_angle_gamma 120.00
loop_
_atom_site_label
_atom_site_fract_x
_atom_site_fract_y
_atom_site_fract_z
Ti1 0.3333 0.6667 0.0000
Al1 0.0000 0.7359 0.0000
Au1 0.0000 0.3374 0.5000
```



(2)
This record from Alexandria describes a relaxed TiAl2Au crystal. The functional is PBE.

Structure (CIF):
```
data_TiAl2Au
_symmetry_space_group_name_H-M 'P 4/m m m'
_symmetry_Int_Tables_number 123
_symmetry_space_group_name_Hall '-P 4 2'
_cell_length_a 4.091
_cell_length_b 4.091
_cell_length_c 3.834
_cell_angle_alpha 90.00
_cell_angle_beta 90.00
_cell_angle_gamma 90.00
loop_
_atom_site_label
_atom_site_fract_x
_atom_site_fract_y
_atom_site_fract_z
Ti1 0.000 0.000 0.000
Al1 0.000 0.500 0.500
Au1 0.500 0.500 0.000
```



Number 1: uncorrected energy -38.4 eV for the cell shown, E_form -0.194 eV per atom. Number 2: uncorrected energy -20.7 eV for the cell shown, E_form -0.500 eV per atom.